# 1
Material: NbPbN3
Method: DFT, PBEsol
State: relaxed

Calculated values
- total DFT energy (no corrections) (eV per atom) = -7.8146
- size of the total moment (μB per formula unit) = 1.48
- Fermi-level density of states (states/eV/f.u.) = 3.66
- ρ (g/cm³) = 8.1

Geometry as CIF:
```
data_NbPbN3
_chemical_formula_sum 'Nb1 Pb1 N3'
_symmetry_space_group_name_H-M 'P m -3 m'
_symmetry_Int_Tables_number 221
_symmetry_space_group_name_Hall '-P 4 2 3'
_cell_length_a 4.1311
_cell_length_b 4.1311
_cell_length_c 4.1311
_cell_angle_alpha 90.00
_cell_angle_beta 90.00
_cell_angle_gamma 90.00
loop_
_atom_site_label
_atom_site_fract_x
_atom_site_fract_y
_atom_site_fract_z
Nb1 0.0000 0.0000 0.0000
Pb1 0.5000 0.5000 0.5000
N1 0.0000 0.0000 0.5000
```

# 2
Material: Li3MgRu
Method: DFT, PBEsol
State: relaxed

Calculated values
- total DFT energy (no corrections) (eV per atom) = -2.7915
- energy of formation (eV per atom) = 0.77
- size of the total moment (μB per formula unit) = 0.01
- Fermi-level density of states (states/eV/f.u.) = 5.16
- ρ (g/cm³) = 2.6

Geometry as CIF:
```
data_Li3MgRu
_chemical_formula_sum 'Li3 Mg1 Ru1'
_symmetry_space_group_name_H-M 'P m -3 m'
_symmetry_Int_Tables_number 221
_symmetry_space_group_name_Hall '-P 4 2 3'
_cell_length_a 4.5502
_cell_length_b 4.5502
_cell_length_c 4.5502
_cell_angle_alpha 90.00
_cell_angle_beta 90.00
_cell_angle_gamma 90.00
loop_
_atom_site_label
_atom_site_fract_x
_atom_site_fract_y
_atom_site_fract_z
Li1 0.0000 0.0000 0.5000
Mg1 0.5000 0.5000 0.5000
Ru1 0.0000 0.0000 0.0000
```

# 3
Material: Mg3CrPb
Method: DFT, PBEsol
State: relaxed

Calculated values
- total DFT energy (no corrections) (eV per atom) = -3.1466
- energy of formation (eV per atom) = 0.73
- size of the total moment (μB per formula unit) = 4.17
- Fermi-level density of states (states/eV/f.u.) = 2.79
- ρ (g/cm³) = 4.1

Geometry as CIF:
```
data_Mg3CrPb
_chemical_formula_sum 'Mg3 Cr1 Pb1'
_symmetry_space_group_name_H-M 'P m -3 m'
_symmetry_Int_Tables_number 221
_symmetry_space_group_name_Hall '-P 4 2 3'
_cell_length_a 5.1359
_cell_length_b 5.1359
_cell_length_c 5.1359
_cell_angle_alpha 90.00
_cell_angle_beta 90.00
_cell_angle_gamma 90.00
loop_
_atom_site_label
_atom_site_fract_x
_atom_site_fract_y
_atom_site_fract_z
Mg1 0.0000 0.0000 0.5000
Cr1 0.0000 0.0000 0.0000
Pb1 0.5000 0.5000 0.5000
```

# 4
Material: SiAs2CSe
Method: DFT, PBEsol
State: relaxed

Calculated values
- total DFT energy (no corrections) (eV per atom) = -4.0216
- size of the total moment (μB per formula unit) = 0.85
- Fermi-level density of states (states/eV/f.u.) = 4.12
- ρ (g/cm³) = 4.4

Geometry as CIF:
```
data_SiAs2CSe
_chemical_formula_sum 'Si1 As2 C1 Se1'
_symmetry_space_group_name_H-M 'P 4/m m m'
_symmetry_Int_Tables_number 123
_symmetry_space_group_name_Hall '-P 4 2'
_cell_length_a 4.6774
_cell_length_b 4.6774
_cell_length_c 4.6370
_cell_angle_alpha 90.00
_cell_angle_beta 90.00
_cell_angle_gamma 90.00
loop_
_atom_site_label
_atom_site_fract_x
_atom_site_fract_y
_atom_site_fract_z
Si1 0.0000 0.0000 0.0000
As1 0.0000 0.5000 0.0000
C1 0.5000 0.5000 0.5000
Se1 0.0000 0.0000 0.5000
```

# 5
Material: ScCr2Cl
Method: DFT, PBEsol
State: relaxed

Calculated values
- total DFT energy (no corrections) (eV per atom) = -6.8300
- size of the total moment (μB per formula unit) = 7.38
- Fermi-level density of states (states/eV/f.u.) = 3.76
- ρ (g/cm³) = 4.3

Geometry as CIF:
```
data_ScCr2Cl
_chemical_formula_sum 'Sc1 Cr2 Cl1'
_symmetry_space_group_name_H-M 'P 4/m m m'
_symmetry_Int_Tables_number 123
_symmetry_space_group_name_Hall '-P 4 2'
_cell_length_a 3.0385
_cell_length_b 3.0385
_cell_length_c 7.6583
_cell_angle_alpha 90.00
_cell_angle_beta 90.00
_cell_angle_gamma 90.00
loop_
_atom_site_label
_atom_site_fract_x
_atom_site_fract_y
_atom_site_fract_z
Sc1 0.0000 0.0000 0.0000
Cr1 0.5000 0.5000 0.2660
Cl1 0.0000 0.0000 0.5000
```

# 6
Material: La2Mn17C2
Method: DFT, PBEsol
State: relaxed

Calculated values
- total DFT energy (no corrections) (eV per atom) = -9.2957
- energy of formation (eV per atom) = 0.03
- size of the total moment (μB per formula unit) = 3.71
- Fermi-level density of states (states/eV/f.u.) = 22.98
- ρ (g/cm³) = 8.0

Geometry as CIF:
```
data_La2Mn17C2
_chemical_formula_sum 'La4 Mn34 C4'
_symmetry_space_group_name_H-M 'C 1 2/m 1'
_symmetry_Int_Tables_number 12
_symmetry_space_group_name_Hall '-C 2y'
_cell_length_a 9.4235
_cell_length_b 8.6144
_cell_length_c 6.3589
_cell_angle_alpha 90.00
_cell_angle_beta 98.40
_cell_angle_gamma 90.00
loop_
_atom_site_label
_atom_site_fract_x
_atom_site_fract_y
_atom_site_fract_z
La1 0.1374 0.0000 0.3384
Mn1 0.0000 0.2382 0.0000
Mn2 0.0000 0.5000 0.5000
Mn3 0.0943 0.5000 0.9057
Mn4 0.1036 0.2676 0.6638
Mn5 0.1426 0.3648 0.2795
Mn6 0.1571 0.0000 0.8712
Mn7 0.2500 0.2500 0.0000
C1 0.2500 0.2500 0.5000
```

# 7
Material: LaZrTa2
Method: DFT, PBEsol
State: relaxed

Calculated values
- total DFT energy (no corrections) (eV per atom) = -9.4181
- energy of formation (eV per atom) = 0.47
- size of the total moment (μB per formula unit) = 0.00
- Fermi-level density of states (states/eV/f.u.) = 5.76
- ρ (g/cm³) = 11.4

Geometry as CIF:
```
data_LaZrTa2
_chemical_formula_sum 'La3 Zr3 Ta6'
_symmetry_space_group_name_H-M 'R -3 m'
_symmetry_Int_Tables_number 166
_symmetry_space_group_name_Hall '-R 3 2"'
_cell_length_a 3.0621
_cell_length_b 3.0621
_cell_length_c 31.7965
_cell_angle_alpha 90.00
_cell_angle_beta 90.00
_cell_angle_gamma 120.00
loop_
_atom_site_label
_atom_site_fract_x
_atom_site_fract_y
_atom_site_fract_z
La1 0.0000 0.0000 0.0000
Zr1 0.0000 0.0000 0.5000
Ta1 0.0000 0.0000 0.2439
```

# 8
Material: Fe2CoAg
Method: DFT, PBEsol
State: relaxed

Calculated values
- total DFT energy (no corrections) (eV per atom) = -6.9049
- energy of formation (eV per atom) = 0.34
- size of the total moment (μB per formula unit) = 6.94
- Fermi-level density of states (states/eV/f.u.) = 3.30
- ρ (g/cm³) = 9.2

Geometry as CIF:
```
data_Fe2CoAg
_chemical_formula_sum 'Fe4 Co2 Ag2'
_symmetry_space_group_name_H-M 'I m m 2'
_symmetry_Int_Tables_number 44
_symmetry_space_group_name_Hall 'I 2 -2'
_cell_length_a 2.9060
_cell_length_b 4.1837
_cell_length_c 8.2248
_cell_angle_alpha 90.00
_cell_angle_beta 90.00
_cell_angle_gamma 90.00
loop_
_atom_site_label
_atom_site_fract_x
_atom_site_fract_y
_atom_site_fract_z
Fe1 0.0000 0.0000 0.0000
Fe2 0.0000 0.5000 0.2613
Co1 0.0000 0.0000 0.5317
Ag1 0.0000 0.5000 0.7661
```

# 9
Material: La2IrS2
Method: DFT, PBEsol
State: relaxed

Calculated values
- total DFT energy (no corrections) (eV per atom) = -7.1957
- size of the total moment (μB per formula unit) = 0.00
- Fermi-level density of states (states/eV/f.u.) = 2.25
- ρ (g/cm³) = 7.4

Geometry as CIF:
```
data_La2IrS2
_chemical_formula_sum 'La4 Ir2 S4'
_symmetry_space_group_name_H-M 'I 4/m m m'
_symmetry_Int_Tables_number 139
_symmetry_space_group_name_Hall '-I 4 2'
_cell_length_a 5.5846
_cell_length_b 5.5846
_cell_length_c 7.7071
_cell_angle_alpha 90.00
_cell_angle_beta 90.00
_cell_angle_gamma 90.00
loop_
_atom_site_label
_atom_site_fract_x
_atom_site_fract_y
_atom_site_fract_z
La1 0.0000 0.5000 0.2500
Ir1 0.0000 0.0000 0.0000
S1 0.0000 0.0000 0.2991
```

# 10
Material: CuPt3
Method: DFT, PBEsol
State: relaxed

Calculated values
- total DFT energy (no corrections) (eV per atom) = -6.3552
- energy of formation (eV per atom) = -0.05
- size of the total moment (μB per formula unit) = 0.00
- Fermi-level density of states (states/eV/f.u.) = 3.83
- ρ (g/cm³) = 18.9

Geometry as CIF:
```
data_CuPt3
_chemical_formula_sum 'Cu2 Pt6'
_symmetry_space_group_name_H-M 'P 63/m m c'
_symmetry_Int_Tables_number 194
_symmetry_space_group_name_Hall '-P 6c 2c'
_cell_length_a 5.4006
_cell_length_b 5.4006
_cell_length_c 4.5054
_cell_angle_alpha 90.00
_cell_angle_beta 90.00
_cell_angle_gamma 120.00
loop_
_atom_site_label
_atom_site_fract_x
_atom_site_fract_y
_atom_site_fract_z
Cu1 0.3333 0.6667 0.2500
Pt1 0.1677 0.3353 0.7500
```

# 11
Material: TaBeSe2
Method: DFT, PBEsol
State: relaxed

Calculated values
- total DFT energy (no corrections) (eV per atom) = -5.3801
- size of the total moment (μB per formula unit) = 0.00
- Fermi-level density of states (states/eV/f.u.) = 3.75
- ρ (g/cm³) = 8.9

Geometry as CIF:
```
data_TaBeSe2
_chemical_formula_sum 'Ta4 Be4 Se8'
_symmetry_space_group_name_H-M 'F -4 3 m'
_symmetry_Int_Tables_number 216
_symmetry_space_group_name_Hall 'F -4 2 3'
_cell_length_a 6.3708
_cell_length_b 6.3708
_cell_length_c 6.3708
_cell_angle_alpha 90.00
_cell_angle_beta 90.00
_cell_angle_gamma 90.00
loop_
_atom_site_label
_atom_site_fract_x
_atom_site_fract_y
_atom_site_fract_z
Ta1 0.0000 0.0000 0.0000
Be1 0.2500 0.2500 0.2500
Se1 0.0000 0.0000 0.5000
Se2 0.2500 0.2500 0.7500
```

# 12
Material: K2Cd2H
Method: DFT, PBEsol
State: relaxed

Calculated values
- total DFT energy (no corrections) (eV per atom) = -1.3185
- size of the total moment (μB per formula unit) = 0.00
- Fermi-level density of states (states/eV/f.u.) = 2.47
- ρ (g/cm³) = 3.2

Geometry as CIF:
```
data_K2Cd2H
_chemical_formula_sum 'K4 Cd4 H2'
_symmetry_space_group_name_H-M 'I 4/m m m'
_symmetry_Int_Tables_number 139
_symmetry_space_group_name_Hall '-I 4 2'
_cell_length_a 6.8406
_cell_length_b 6.8406
_cell_length_c 6.7653
_cell_angle_alpha 90.00
_cell_angle_beta 90.00
_cell_angle_gamma 90.00
loop_
_atom_site_label
_atom_site_fract_x
_atom_site_fract_y
_atom_site_fract_z
K1 0.0000 0.5000 0.2500
Cd1 0.0000 0.0000 0.2068
H1 0.0000 0.0000 0.5000
```

# 13
Material: MgTl2Cr
Method: DFT, PBEsol
State: relaxed

Calculated values
- total DFT energy (no corrections) (eV per atom) = -3.9121
- energy of formation (eV per atom) = 0.39
- size of the total moment (μB per formula unit) = 3.96
- Fermi-level density of states (states/eV/f.u.) = 2.09
- ρ (g/cm³) = 9.1

Geometry as CIF:
```
data_MgTl2Cr
_chemical_formula_sum 'Mg1 Tl2 Cr1'
_symmetry_space_group_name_H-M 'P 4 m m'
_symmetry_Int_Tables_number 99
_symmetry_space_group_name_Hall 'P 4 -2'
_cell_length_a 3.8032
_cell_length_b 3.8032
_cell_length_c 6.0875
_cell_angle_alpha 90.00
_cell_angle_beta 90.00
_cell_angle_gamma 90.00
loop_
_atom_site_label
_atom_site_fract_x
_atom_site_fract_y
_atom_site_fract_z
Mg1 0.0000 0.0000 0.0000
Tl1 0.0000 0.0000 0.5285
Tl2 0.5000 0.5000 0.2386
Cr1 0.5000 0.5000 0.7488
```

# 14
Material: MnAl2Zn
Method: DFT, PBEsol
State: relaxed

Calculated values
- total DFT energy (no corrections) (eV per atom) = -4.9225
- energy of formation (eV per atom) = -0.04
- size of the total moment (μB per formula unit) = 2.39
- Fermi-level density of states (states/eV/f.u.) = 1.64
- ρ (g/cm³) = 5.2

Geometry as CIF:
```
data_MnAl2Zn
_chemical_formula_sum 'Mn1 Al2 Zn1'
_symmetry_space_group_name_H-M 'P 1 2/m 1'
_symmetry_Int_Tables_number 10
_symmetry_space_group_name_Hall '-P 2y'
_cell_length_a 4.5733
_cell_length_b 2.7505
_cell_length_c 4.7507
_cell_angle_alpha 90.00
_cell_angle_beta 112.21
_cell_angle_gamma 90.00
loop_
_atom_site_label
_atom_site_fract_x
_atom_site_fract_y
_atom_site_fract_z
Mn1 0.0000 0.0000 0.0000
Al1 0.5000 0.0000 0.5000
Al2 0.5000 0.5000 0.0000
Zn1 0.0000 0.5000 0.5000
```